[1]
NbSbSe2N after structural relaxation, computed with PBE-GGA.

```
data_NbSbSe2N
_cell_length_a 5.3415
_cell_length_b 5.3415
_cell_length_c 3.8355
_cell_angle_alpha 90.00
_cell_angle_beta 90.00
_cell_angle_gamma 90.00
_space_group_name_H-M_alt 'P 4/m m m'
_space_group_IT_number 123
_space_group_name_Hall '-P 4 2'
loop_
_atom_site_label
_atom_site_type_symbol
_atom_site_fract_x
_atom_site_fract_y
_atom_site_fract_z
_atom_site_occupancy
Nb1 Nb 0.0000 0.0000 0.0000 1
Sb1 Sb 0.5000 0.5000 0.5000 1
Se1 Se 0.0000 0.5000 0.5000 1
N1 N 0.5000 0.5000 0.0000 1
```

Calculated values
ΔE_f (raw): 0.982 eV per atom
Crystal system: tetragonal

[2]
HoP2Os2 after structural relaxation, computed with PBE-GGA.

```
data_HoP2Os2
_cell_length_a 4.0813
_cell_length_b 4.0813
_cell_length_c 4.7612
_cell_angle_alpha 90.00
_cell_angle_beta 90.00
_cell_angle_gamma 90.00
_space_group_name_H-M_alt 'P 4/m m m'
_space_group_IT_number 123
_space_group_name_Hall '-P 4 2'
loop_
_atom_site_label
_atom_site_type_symbol
_atom_site_fract_x
_atom_site_fract_y
_atom_site_fract_z
_atom_site_occupancy
Ho1 Ho 0.0000 0.0000 0.0000 1
P1 P 0.5000 0.5000 0.2306 1
Os1 Os 0.0000 0.5000 0.5000 1
```

Calculated values
Calculated formation energy: -0.59 eV per atom
Crystal system: tetragonal

[3]
Pr2Zn5Cd after structural relaxation, computed with PBE-GGA.

```
data_Pr2Zn5Cd
_cell_length_a 6.7144
_cell_length_b 6.7144
_cell_length_c 7.7968
_cell_angle_alpha 90.00
_cell_angle_beta 90.00
_cell_angle_gamma 90.00
_space_group_name_H-M_alt 'I 4 m m'
_space_group_IT_number 107
_space_group_name_Hall 'I 4 -2'
loop_
_atom_site_label
_atom_site_type_symbol
_atom_site_fract_x
_atom_site_fract_y
_atom_site_fract_z
_atom_site_occupancy
Pr1 Pr 0.0000 0.5000 0.0000 1
Zn1 Zn 0.0000 0.0000 0.4780 1
Zn2 Zn 0.1963 0.1963 0.7523 1
Cd1 Cd 0.0000 0.0000 0.1151 1
```

Calculated values
Calculated formation energy: -0.20 eV per atom
Crystal system: tetragonal

[4]
Y4Al2Sn after structural relaxation, computed with PBE-GGA.

```
data_Y4Al2Sn
_cell_length_a 5.6562
_cell_length_b 5.6562
_cell_length_c 14.4048
_cell_angle_alpha 90.00
_cell_angle_beta 90.00
_cell_angle_gamma 90.00
_space_group_name_H-M_alt 'I 4/m m m'
_space_group_IT_number 139
_space_group_name_Hall '-I 4 2'
loop_
_atom_site_label
_atom_site_type_symbol
_atom_site_fract_x
_atom_site_fract_y
_atom_site_fract_z
_atom_site_occupancy
Y1 Y 0.0000 0.0000 0.2024 1
Y2 Y 0.0000 0.5000 0.0000 1
Al1 Al 0.0000 0.0000 0.4035 1
Sn1 Sn 0.0000 0.0000 0.0000 1
```

Calculated values
Calculated formation energy: 0.04 eV per atom
Crystal system: tetragonal

[5]
Mg3Ga3NiRu2 after structural relaxation, computed with PBE-GGA.

```
data_Mg3Ga3NiRu2
_cell_length_a 7.2748
_cell_length_b 7.2748
_cell_length_c 3.0310
_cell_angle_alpha 90.00
_cell_angle_beta 90.00
_cell_angle_gamma 120.00
_space_group_name_H-M_alt 'P -6 2 m'
_space_group_IT_number 189
_space_group_name_Hall 'P -6 -2'
loop_
_atom_site_label
_atom_site_type_symbol
_atom_site_fract_x
_atom_site_fract_y
_atom_site_fract_z
_atom_site_occupancy
Mg1 Mg 0.0000 0.7269 0.0000 1
Ga1 Ga 0.0000 0.3883 0.5000 1
Ni1 Ni 0.0000 0.0000 0.5000 1
Ru1 Ru 0.3333 0.6667 0.0000 1
```

Calculated values
Calculated formation energy: -0.16 eV per atom
Crystal system: hexagonal

[6]
Ba2HfCu2O6 after structural relaxation, computed with PBE-GGA.

```
data_Ba2HfCu2O6
_cell_length_a 5.9990
_cell_length_b 5.9990
_cell_length_c 16.5372
_cell_angle_alpha 90.00
_cell_angle_beta 90.00
_cell_angle_gamma 120.00
_space_group_name_H-M_alt 'R -3 m'
_space_group_IT_number 166
_space_group_name_Hall '-R 3 2"'
loop_
_atom_site_label
_atom_site_type_symbol
_atom_site_fract_x
_atom_site_fract_y
_atom_site_fract_z
_atom_site_occupancy
Ba1 Ba 0.0000 0.0000 0.2209 1
Hf1 Hf 0.0000 0.0000 0.0000 1
Cu1 Cu 0.0000 0.0000 0.4192 1
O1 O 0.0241 0.5120 0.7471 1
```

Calculated values
ΔE_f (raw): -2.105 eV per atom
Crystal system: trigonal

no.,DFT total energy (eV/atom),density of states at the Fermi level (states/eV/atom)
1,-4.9157,0.577
2,-8.1567,0.472
3,-2.3103,0.719
4,-5.2931,0.159
5,-4.4084,0.694
6,-6.8086,0.369